Density functional theory data (PBE+U) for crystalline TbPb2WO6 at its relaxed geometry.

abc: 5.799 6.050 10.280
angles: 90.00 123.75 90.00
Element x y z (fractional)
Tb (0.000, 0.000, 0.000)
Tb (0.000, 0.500, 0.500)
Pb (0.243, 0.043, 0.733)
Pb (0.243, 0.457, 0.233)
Pb (0.757, 0.543, 0.767)
Pb (0.757, 0.957, 0.267)
W (0.500, 0.000, 0.500)
W (0.500, 0.500, 0.000)
O (0.183, 0.181, 0.481)
O (0.183, 0.319, 0.981)
O (0.284, 0.733, 0.468)
O (0.284, 0.767, 0.968)
O (0.330, 0.026, 0.262)
O (0.330, 0.474, 0.762)
O (0.670, 0.526, 0.238)
O (0.670, 0.974, 0.738)
O (0.716, 0.233, 0.032)
O (0.716, 0.267, 0.532)
O (0.817, 0.681, 0.019)
O (0.817, 0.819, 0.519)

Values from the calculation:
N(E_F)	0.0	states/eV/f.u.
total energy	-6.973	eV per atom
density	9.4	g/cm³
size of the total moment	1.00	μB per formula unit
space group	P2_1/c